Material: SbRh2W
Method: DFT, GGA-PBEsol
State: optimized geometry

abc: 2.9804 2.9804 7.1296
angles: 90.00 90.00 90.00
Last column: nearest neighbours and their distance in Å.
Atoms (fractional coordinates):
Sb1 0.0000 0.0000 0.0000  4 Rh 2.64, 4 W 2.93
Rh1 0.0000 0.0000 0.5023  4 W 2.62, 4 Rh 2.87
Rh2 0.5000 0.5000 0.7764  4 Sb 2.64, 4 Rh 2.87
W1 0.5000 0.5000 0.2849  4 Rh 2.62, 4 Sb 2.93

* formation energy (no corrections): 129 meV/atom
* E_tot: -8.531 eV per atom



Material: LaZnRh
Method: DFT, GGA-PBEsol
State: optimized geometry

abc: 4.3161 4.3161 3.9090
angles: 90.00 90.00 120.00
Last column: nearest neighbours and their distance in Å.
Atoms (fractional coordinates):
La1 0.0000 0.0000 0.0000  6 Zn 3.17, 6 Rh 3.17
Zn1 0.6667 0.3333 0.5000  3 Rh 2.49
Rh1 0.3333 0.6667 0.5000  3 Zn 2.49

* energy of formation: -0.52 eV per atom
* E_tot: -5.542 eV per atom



Material: AgHgB3
Method: DFT, GGA-PBEsol
State: optimized geometry

abc: 4.3284 4.3284 4.3284
angles: 90.00 90.00 90.00
Last column: nearest neighbours and their distance in Å.
Atoms (fractional coordinates):
Ag1 0.0000 0.0000 0.0000  12 B 3.06
Hg1 0.5000 0.5000 0.5000  6 B 2.16
B1 0.0000 0.5000 0.5000  2 Hg 2.16
B2 0.5000 0.0000 0.5000  2 Hg 2.16
B3 0.5000 0.5000 0.0000  2 Hg 2.16

* energy of formation: 2.33 eV per atom
* E_tot: -2.659 eV per atom



Material: CuPd2Au
Method: DFT, GGA-PBEsol
State: optimized geometry

abc: 4.3515 4.3515 4.3515
angles: 60.00 60.00 60.00
Last column: nearest neighbours and their distance in Å.
Atoms (fractional coordinates):
Cu1 0.0000 0.0000 0.0000  8 Pd 2.66
Pd1 0.2500 0.2500 0.2500  4 Au 2.66, 4 Cu 2.66
Pd2 0.7500 0.7500 0.7500  4 Au 2.66, 4 Cu 2.66
Au1 0.5000 0.5000 0.5000  8 Pd 2.66

* energy of formation: -0.04 eV per atom
* E_tot: -5.088 eV per atom



Material: YAlO2F
Method: DFT, GGA-PBEsol
State: optimized geometry

abc: 4.3652 4.3652 4.1724
angles: 90.00 90.00 90.00
Last column: nearest neighbours and their distance in Å.
Atoms (fractional coordinates):
Y1 0.0000 0.0000 0.0000  2 F 2.09, 4 O 2.18
Al1 0.5000 0.5000 0.5000  8 O 3.02, 4 F 3.09
O1 0.0000 0.5000 0.0000  2 Y 2.18
O2 0.5000 0.0000 0.0000  2 Y 2.18
F1 0.0000 0.0000 0.5000  2 Y 2.09

* formation energy (no corrections): -1998 meV/atom
* E_tot: -6.666 eV per atom



Material: Tl2TcAg
Method: DFT, GGA-PBEsol
State: optimized geometry

abc: 3.4244 3.4244 6.4396
angles: 90.00 90.00 90.00
Last column: nearest neighbours and their distance in Å.
Atoms (fractional coordinates):
Tl1 0.0000 0.0000 0.2360  4 Tc 2.86, 4 Ag 2.96, 1 Tl 3.04
Tl2 0.0000 0.0000 0.7640  4 Tc 2.86, 4 Ag 2.96, 1 Tl 3.04
Tc1 0.5000 0.5000 0.0000  8 Tl 2.86
Ag1 0.5000 0.5000 0.5000  8 Tl 2.96, 2 Tc 3.22

* energy above the lowest structure with this stoichiometry: 0.000 eV per atom
* energy of formation: 0.58 eV per atom
* E_tot: -4.383 eV per atom



Material: Y5P12Ru19
Method: DFT, GGA-PBEsol
State: optimized geometry

abc: 12.3910 12.3910 3.9171
angles: 90.00 90.00 120.00
Last column: nearest neighbours and their distance in Å.
Atoms (fractional coordinates):
Y1 0.0000 0.1843 0.0000  6 P 3.01-3.05, 10 Ru 3.01-3.31
Y2 0.1843 0.0000 0.0000  6 P 3.01-3.05, 10 Ru 3.01-3.31
Y3 0.3333 0.6667 0.5000  6 P 2.94, 9 Ru 3.10-3.11
Y4 0.6667 0.3333 0.5000  6 P 2.94, 9 Ru 3.10-3.11
Y5 0.8157 0.8157 0.0000  6 P 3.01-3.05, 10 Ru 3.01-3.31
P1 0.0000 0.3730 0.5000  7 Ru 2.26-2.47
P2 0.0000 0.8160 0.5000  5 Ru 2.28-2.34
P3 0.1709 0.6930 0.0000  5 Ru 2.27-2.37
P4 0.1840 0.1840 0.5000  5 Ru 2.28-2.34
P5 0.3070 0.4779 0.0000  5 Ru 2.27-2.37
P6 0.3730 0.0000 0.5000  7 Ru 2.26-2.47
P7 0.4779 0.3070 0.0000  5 Ru 2.27-2.37
P8 0.5221 0.8291 0.0000  5 Ru 2.27-2.37
P9 0.6270 0.6270 0.5000  7 Ru 2.26-2.47
P10 0.6930 0.1709 0.0000  5 Ru 2.27-2.37
P11 0.8160 0.0000 0.5000  5 Ru 2.28-2.34
P12 0.8291 0.5221 0.0000  5 Ru 2.27-2.37
Ru1 0.0000 0.0000 0.5000  3 P 2.28
Ru2 0.0000 0.5556 0.5000  1 P 2.26
Ru3 0.0000 0.7173 0.0000  4 P 2.28-2.31
Ru4 0.1250 0.4909 0.0000  4 P 2.27-2.47
Ru5 0.1846 0.8075 0.5000  4 P 2.34-2.37
Ru6 0.1925 0.3772 0.5000  4 P 2.34-2.37
Ru7 0.2827 0.2827 0.0000  4 P 2.28-2.31
Ru8 0.3659 0.8750 0.0000  4 P 2.27-2.47
Ru9 0.3772 0.1925 0.5000  4 P 2.34-2.37
Ru10 0.4444 0.4444 0.5000  1 P 2.26
Ru11 0.4909 0.1250 0.0000  4 P 2.27-2.47
Ru12 0.5091 0.6341 0.0000  4 P 2.27-2.47
Ru13 0.5556 0.0000 0.5000  1 P 2.26
Ru14 0.6228 0.8154 0.5000  4 P 2.34-2.37
Ru15 0.6341 0.5091 0.0000  4 P 2.27-2.47
Ru16 0.7173 0.0000 0.0000  4 P 2.28-2.31
Ru17 0.8075 0.1846 0.5000  4 P 2.34-2.37
Ru18 0.8154 0.6228 0.5000  4 P 2.34-2.37
Ru19 0.8750 0.3659 0.0000  4 P 2.27-2.47

* energy of formation: -0.90 eV per atom
* E_tot: -9.148 eV per atom



Material: Zn2InBi2
Method: DFT, GGA-PBEsol
State: optimized geometry

abc: 8.5386 8.5386 8.5386
angles: 153.30 153.30 38.12
Last column: nearest neighbours and their distance in Å.
Atoms (fractional coordinates):
Zn1 0.2500 0.7500 0.5000  4 Zn 2.79, 4 Bi 2.86
Zn2 0.7500 0.2500 0.5000  4 Zn 2.79, 4 Bi 2.86
In1 0.0000 0.0000 0.0000  8 Bi 3.41
Bi1 0.3781 0.3781 0.0000  4 Zn 2.86
Bi2 0.6219 0.6219 0.0000  4 Zn 2.86

* energy of formation: 0.10 eV per atom
* E_tot: -2.845 eV per atom



Material: LiLaSe2
Method: DFT, GGA-PBEsol
State: optimized geometry

abc: 4.2320 4.2320 5.7594
angles: 90.00 90.00 90.00
Last column: nearest neighbours and their distance in Å.
Atoms (fractional coordinates):
Li1 0.0000 0.0000 0.0000  6 Se 2.88-2.99
La1 0.5000 0.5000 0.5000  6 Se 2.88-2.99
Se1 0.0000 0.0000 0.5000  2 Li 2.88, 4 La 2.99
Se2 0.5000 0.5000 0.0000  2 La 2.88, 4 Li 2.99

* formation energy (no corrections): -1644 meV/atom
* E_tot: -5.397 eV per atom



Material: Ni4Au3
Method: DFT, GGA-PBEsol
State: optimized geometry

abc: 12.0847 12.0847 12.0847
angles: 166.75 166.75 18.77
Last column: nearest neighbours and their distance in Å.
Atoms (fractional coordinates):
Ni1 0.0744 0.0744 0.0000  4 Ni 2.38, 4 Au 2.65
Ni2 0.3696 0.3696 0.0000  4 Ni 2.38, 4 Au 2.65
Ni3 0.6304 0.6304 0.0000  4 Ni 2.38, 4 Au 2.65
Ni4 0.9256 0.9256 0.0000  4 Ni 2.38, 4 Au 2.65
Au1 0.2046 0.2046 0.0000  4 Ni 2.65, 8 Au 2.79-2.93
Au2 0.5000 0.5000 0.0000  8 Ni 2.65, 4 Au 2.79
Au3 0.7954 0.7954 0.0000  4 Ni 2.65, 8 Au 2.79-2.93

* energy of formation: 0.09 eV per atom
* E_tot: -5.107 eV per atom



Material: PmInAg2
Method: DFT, GGA-PBEsol
State: optimized geometry

abc: 4.9234 4.9234 4.9234
angles: 60.00 60.00 60.00
Last column: nearest neighbours and their distance in Å.
Atoms (fractional coordinates):
Pm1 0.0000 0.0000 0.0000  8 Ag 3.01
In1 0.5000 0.5000 0.5000  8 Ag 3.01
Ag1 0.2500 0.2500 0.2500  4 In 3.01, 4 Pm 3.01
Ag2 0.7500 0.7500 0.7500  4 In 3.01, 4 Pm 3.01

* energy of formation: -0.40 eV per atom
* E_tot: -4.085 eV per atom



Material: YTeRh2
Method: DFT, GGA-PBEsol
State: optimized geometry

abc: 4.6688 4.6688 4.6688
angles: 60.00 60.00 60.00
Last column: nearest neighbours and their distance in Å.
Atoms (fractional coordinates):
Y1 0.0000 0.0000 0.0000  8 Rh 2.86
Te1 0.5000 0.5000 0.5000  8 Rh 2.86
Rh1 0.2500 0.2500 0.2500  4 Te 2.86, 4 Y 2.86
Rh2 0.7500 0.7500 0.7500  4 Te 2.86, 4 Y 2.86

* energy above the lowest structure with this stoichiometry: 0.049 eV per atom
* formation energy (no corrections): -558 meV/atom
* E_tot: -7.214 eV per atom



Material: LaTcPt2
Method: DFT, GGA-PBEsol
State: optimized geometry

abc: 2.8541 2.8541 8.5355
angles: 90.00 90.00 90.00
Last column: nearest neighbours and their distance in Å.
Atoms (fractional coordinates):
La1 0.0000 0.0000 0.0000  4 La 2.85, 8 Pt 3.19
Tc1 0.0000 0.0000 0.5000  8 Pt 2.70, 4 Tc 2.85
Pt1 0.5000 0.5000 0.2891  4 Tc 2.70, 4 Pt 2.85
Pt2 0.5000 0.5000 0.7109  4 Tc 2.70, 4 Pt 2.85

* energy above the lowest structure with this stoichiometry: 0.024 eV per atom
* energy of formation: -0.22 eV per atom
* E_tot: -7.852 eV per atom



Material: MnCo2Re
Method: DFT, GGA-PBEsol
State: optimized geometry

abc: 2.7873 2.7873 6.0259
angles: 90.00 90.00 90.00
Last column: nearest neighbours and their distance in Å.
Atoms (fractional coordinates):
Mn1 0.0000 0.0000 0.0000  4 Co 2.38, 4 Re 2.57
Co1 0.0000 0.0000 0.5398  4 Co 2.44, 4 Re 2.54
Co2 0.5000 0.5000 0.7774  4 Mn 2.38, 4 Co 2.44
Re1 0.5000 0.5000 0.2746  4 Co 2.54, 4 Mn 2.57, 4 Re 2.79

* energy above the lowest structure with this stoichiometry: 0.152 eV per atom
* energy of formation: 0.14 eV per atom
* E_tot: -9.498 eV per atom



Material: Sc4TeIr
Method: DFT, GGA-PBEsol
State: optimized geometry

abc: 5.5220 5.5220 5.5220
angles: 60.00 60.00 60.00
Last column: nearest neighbours and their distance in Å.
Atoms (fractional coordinates):
Sc1 0.1240 0.1240 0.1240  6 Sc 2.74-2.78
Sc2 0.1240 0.1240 0.6281  6 Sc 2.74-2.78
Sc3 0.1240 0.6281 0.1240  6 Sc 2.74-2.78
Sc4 0.6281 0.1240 0.1240  6 Sc 2.74-2.78
Te1 0.5000 0.5000 0.5000  12 Sc 3.24, 4 Ir 3.38
Ir1 0.7500 0.7500 0.7500  12 Sc 3.24, 4 Te 3.38

* formation energy (no corrections): 154 meV/atom
* E_tot: -6.474 eV per atom



Material: CoIrRh
Method: DFT, GGA-PBEsol
State: optimized geometry

abc: 4.5184 4.5184 4.5184
angles: 145.94 132.31 59.90
Last column: nearest neighbours and their distance in Å.
Atoms (fractional coordinates):
Co1 0.0000 0.0000 0.0000  5 Ir 2.58-2.67, 5 Rh 2.60-2.61, 2 Co 2.65
Ir1 0.6592 0.6592 0.0000  5 Rh 2.56-2.63, 5 Co 2.58-2.67, 2 Ir 2.65
Rh1 0.3319 0.3319 0.0000  5 Ir 2.56-2.63, 5 Co 2.60-2.61, 2 Rh 2.65

* energy above the lowest structure with this stoichiometry: 0.000 eV per atom
* energy of formation: 0.03 eV per atom
* E_tot: -8.540 eV per atom



Material: NaFe3Te
Method: DFT, GGA-PBEsol
State: optimized geometry

abc: 4.4564 4.4564 4.4564
angles: 90.00 90.00 90.00
Last column: nearest neighbours and their distance in Å.
Atoms (fractional coordinates):
Na1 0.0000 0.0000 0.0000  6 Fe 2.23
Fe1 0.0000 0.0000 0.5000  2 Na 2.23
Fe2 0.0000 0.5000 0.0000  2 Na 2.23
Fe3 0.5000 0.0000 0.0000  2 Na 2.23
Te1 0.5000 0.5000 0.5000  12 Fe 3.15

* energy above the lowest structure with this stoichiometry: 0.672 eV per atom
* formation energy (no corrections): 1787 meV/atom
* E_tot: -4.577 eV per atom



Material: BePdNF2
Method: DFT, GGA-PBEsol
State: optimized geometry

abc: 4.1419 4.1419 3.7603
angles: 90.00 90.00 90.00
Last column: nearest neighbours and their distance in Å.
Atoms (fractional coordinates):
Be1 0.0000 0.0000 0.0000  8 F 2.80, 4 N 2.93
Pd1 0.5000 0.5000 0.5000  2 N 1.88, 4 F 2.07
N1 0.5000 0.5000 0.0000  2 Pd 1.88
F1 0.0000 0.5000 0.5000  2 Pd 2.07
F2 0.5000 0.0000 0.5000  2 Pd 2.07

* formation energy (no corrections): 227 meV/atom
* E_tot: -4.241 eV per atom



Material: BeReOs2N
Method: DFT, GGA-PBEsol
State: optimized geometry

abc: 4.7787 4.7787 3.6780
angles: 90.00 90.00 90.00
Last column: nearest neighbours and their distance in Å.
Atoms (fractional coordinates):
Be1 0.0000 0.0000 0.0000  8 Os 3.02
Re1 0.5000 0.5000 0.5000  2 N 1.84
Os1 0.0000 0.5000 0.5000  2 Re 2.39
Os2 0.5000 0.0000 0.5000  2 Re 2.39
N1 0.5000 0.5000 0.0000  2 Re 1.84

* formation energy (no corrections): 2024 meV/atom
* E_tot: -8.034 eV per atom



Material: RbSn2Bi2
Method: DFT, GGA-PBEsol
State: optimized geometry

abc: 7.4060 7.4060 7.4060
angles: 137.01 137.01 62.43
Last column: nearest neighbours and their distance in Å.
Atoms (fractional coordinates):
Rb1 0.0000 0.0000 0.0000  8 Sn 4.17, 10 Bi 4.19-4.65
Sn1 0.2500 0.7500 0.5000  4 Bi 3.10
Sn2 0.7500 0.2500 0.5000  4 Bi 3.10
Bi1 0.3675 0.3675 0.0000  4 Sn 3.10, 1 Bi 3.36
Bi2 0.6325 0.6325 0.0000  4 Sn 3.10, 1 Bi 3.36

* energy of formation: -0.13 eV per atom
* E_tot: -3.754 eV per atom



In order of appearance, total moment = 0.00, 0.00, 0.00, 0.00, 0.00, 0.00, 0.00, 0.00, 0.00, 0.29, 0.00, 0.00, 0.00, 1.27, 0.02, 0.30, 1.70, 0.00, 0.00, 0.00 μB/atom.